(1)
## KCO (PBE)

Data for an optimized crystal structure of KCO.

Calculated values
Crystal system: orthorhombic
SG: Cmcm

a b c (Å): 6.584 6.584 2.794
angles (deg): 90.00 90.00 139.48
Fractional coordinates of all 6 atoms:
K1 0.150 0.850 0.750
K2 0.850 0.150 0.250
C1 0.471 0.529 0.750
C2 0.529 0.471 0.250
O1 0.362 0.638 0.750
O2 0.638 0.362 0.250


(2)
## K4CO4 (PBE)

Data for an optimized crystal structure of K4CO4.

Calculated values
ΔE to the lowest computed polymorph in kJ per mole of atoms: 2.3
Crystal system: tetragonal
SG: I-42m

a b c (Å): 6.538 6.538 6.538
angles (deg): 99.73 99.73 131.45
Fractional coordinates of all 9 atoms:
K1 0.170 0.170 0.650
K2 0.480 0.830 0.000
K3 0.520 0.520 0.350
K4 0.830 0.480 0.000
C1 0.000 0.000 0.000
O1 0.051 0.251 0.000
O2 0.251 0.051 0.000
O3 0.749 0.749 0.800
O4 0.949 0.949 0.200


(3)
## K2C2O5 (PBE)

Data for an optimized crystal structure of K2C2O5.

Calculated values
ΔE to the lowest computed polymorph in kJ per mole of atoms: 0.0
Crystal system: monoclinic
SG: C2/m

a b c (Å): 7.767 7.767 5.911
angles (deg): 112.17 112.17 29.90
Fractional coordinates of all 9 atoms:
K1 0.167 0.167 0.168
K2 0.833 0.833 0.832
C1 0.399 0.399 0.399
C2 0.601 0.601 0.601
O1 0.358 0.358 0.549
O2 0.360 0.360 0.167
O3 0.500 0.500 0.500
O4 0.640 0.640 0.833
O5 0.642 0.642 0.451


(4)
## K2CO (PBE)

Data for an optimized crystal structure of K2CO.

Calculated values
ΔE to the lowest computed polymorph in kJ per mole of atoms: 0.0
Crystal system: tetragonal
SG: I-42d

a b c (Å): 7.805 7.805 7.805
angles (deg): 92.69 92.69 154.96
Fractional coordinates of all 8 atoms:
K1 0.375 0.126 0.251
K2 0.874 0.125 0.249
K3 0.875 0.124 0.749
K4 0.876 0.625 0.751
C1 0.250 0.750 0.500
C2 0.500 0.500 0.000
O1 0.000 0.000 0.000
O2 0.750 0.250 0.500


(5)
## KCO2 (PBE)

Data for an optimized crystal structure of KCO2.

Calculated values
Crystal system: orthorhombic
SG: Pbam

a b c (Å): 6.212 11.090 3.504
angles (deg): 90.00 90.00 90.00
Fractional coordinates of all 16 atoms:
K1 0.096 0.151 0.000
K2 0.404 0.651 0.000
K3 0.596 0.349 0.000
K4 0.904 0.849 0.000
C1 0.069 0.440 0.500
C2 0.431 0.940 0.500
C3 0.569 0.060 0.500
C4 0.931 0.560 0.500
O1 0.035 0.659 0.500
O2 0.228 0.951 0.500
O3 0.272 0.451 0.500
O4 0.465 0.159 0.500
O5 0.535 0.841 0.500
O6 0.728 0.549 0.500
O7 0.772 0.049 0.500
O8 0.965 0.341 0.500


(6)
## K3CO3 (PBE)

Data for an optimized crystal structure of K3CO3.

Calculated values
Crystal system: trigonal
SG: R3m

a b c (Å): 5.406 5.406 5.406
angles (deg): 87.63 87.63 87.63
Fractional coordinates of all 7 atoms:
K1 0.003 0.498 0.498
K2 0.498 0.003 0.498
K3 0.498 0.498 0.003
C1 0.103 0.103 0.103
O1 0.006 0.006 0.309
O2 0.006 0.309 0.006
O3 0.309 0.006 0.006


(7)
## KCO2 (PBE)

Data for an optimized crystal structure of KCO2.

Calculated values
Crystal system: tetragonal
SG: I-42d

a b c (Å): 5.202 5.202 5.202
angles (deg): 119.76 119.76 90.42
Fractional coordinates of all 8 atoms:
K1 0.000 0.000 0.000
K2 0.750 0.250 0.500
C1 0.250 0.750 0.500
C2 0.500 0.500 0.000
O1 0.330 0.125 0.705
O2 0.375 0.670 0.795
O3 0.420 0.625 0.295
O4 0.875 0.580 0.205


(8)
## K4CO4 (PBE)

Data for an optimized crystal structure of K4CO4.

Calculated values
ΔE to the lowest computed polymorph in kJ per mole of atoms: 3.4
Crystal system: tetragonal
SG: I-4

a b c (Å): 5.973 5.973 5.973
angles (deg): 102.19 102.19 125.29
Fractional coordinates of all 9 atoms:
K1 0.164 0.308 0.604
K2 0.440 0.836 0.144
K3 0.692 0.296 0.856
K4 0.704 0.560 0.396
C1 0.000 0.000 0.000
O1 0.002 0.887 0.189
O2 0.113 0.302 0.115
O3 0.187 0.998 0.885
O4 0.698 0.813 0.811


(9)
## K4CO4 (PBE)

Data for an optimized crystal structure of K4CO4.

Calculated values
ΔE to the lowest computed polymorph in kJ per mole of atoms: 2.5
Crystal system: monoclinic
SG: Cm

a b c (Å): 6.002 6.002 5.823
angles (deg): 114.17 114.17 92.91
Fractional coordinates of all 9 atoms:
K1 0.000 0.000 0.000
K2 0.241 0.658 0.448
K3 0.591 0.591 0.069
K4 0.658 0.241 0.448
C1 0.181 0.181 0.708
O1 0.112 0.381 0.889
O2 0.265 0.265 0.555
O3 0.381 0.112 0.889
O4 0.963 0.963 0.505


(10)
## K4CO4 (PBE)

Data for an optimized crystal structure of K4CO4.

Calculated values
ΔE to the lowest computed polymorph in kJ per mole of atoms: 9.2
Crystal system: monoclinic
SG: Cm

a b c (Å): 5.811 5.811 6.232
angles (deg): 111.57 111.57 83.02
Fractional coordinates of all 9 atoms:
K1 0.212 0.788 0.000
K2 0.368 0.814 0.553
K3 0.788 0.212 0.000
K4 0.814 0.368 0.553
C1 0.772 0.772 0.303
O1 0.591 0.591 0.241
O2 0.660 0.961 0.207
O3 0.882 0.882 0.576
O4 0.961 0.660 0.207


(11)
## K2CO3 (PBE)

Data for an optimized crystal structure of K2CO3.

Calculated values
Crystal system: orthorhombic
SG: Fmmm

a b c (Å): 8.058 6.875 6.682
angles (deg): 72.92 54.65 52.44
Fractional coordinates of all 12 atoms:
K1 0.238 0.762 0.762
K2 0.250 0.250 0.250
K3 0.750 0.750 0.750
K4 0.762 0.238 0.238
C1 0.221 0.221 0.779
C2 0.779 0.779 0.221
O1 0.062 0.264 0.736
O2 0.264 0.062 0.938
O3 0.333 0.333 0.667
O4 0.667 0.667 0.333
O5 0.736 0.938 0.062
O6 0.938 0.736 0.264


(12)
## KCO2 (PBE)

Data for an optimized crystal structure of KCO2.

Calculated values
Crystal system: triclinic
SG: P1

a b c (Å): 4.244 4.312 5.342
angles (deg): 71.67 70.33 63.44
Fractional coordinates of all 4 atoms:
K1 0.000 0.000 0.000
C1 0.582 0.398 0.493
O1 0.410 0.426 0.732
O2 0.568 0.602 0.268


Record order is preserved below.
ΔE_f (raw): -0.747; -1.337; -1.540; 0.599; -1.559; -1.358; -0.206; -1.326; -1.335; -1.265; -1.731; -1.218 eV/atom
Record order is preserved below.
DFT total energy: -35.04; -45.48; -59.29; -27.96; -105.89; -36.90; -42.13; -45.38; -45.46; -44.83; -73.36; -25.11 eV for the cell shown
Record order is preserved below.
Spin magnetization: 0.0; 0.1; 0.0; 0.0; 0.0; 0.5; 0.0; 0.1; 0.1; 0.2; 0.0; 1.0 μB per formula unit